Entry 1:
VASP calculation (GGA-PBE) on crystalline Pm2PrPaBi4 at its relaxed geometry.

The structure in POSCAR format:
```
Pm2PrPaBi4
1.0
7.9121 0.0000 0.0000
0.0000 4.5557 0.0000
-2.6093 0.0000 7.4791
Pm Pr Pa Bi
2 1 1 4
Cartesian
0.0000 0.0000 0.0000
-1.3047 2.2779 3.7395
2.6514 0.0000 3.7395
3.9561 2.2779 0.0000
1.3476 2.2779 1.8243
0.0298 0.0000 5.6517
5.2729 0.0000 1.8274
3.9552 2.2779 5.6548
```

DOS(E_F) = 7.608 states/eV/f.u.
magnetic moment = 1.070 μB per formula unit
formation energy = -5.78 eV/f.u.

***

Entry 2:
VASP calculation (GGA-PBE) on crystalline Pm2PuPaBi4 at its relaxed geometry.

The structure in POSCAR format:
```
Pm2PuPaBi4
1.0
7.8559 0.0000 0.0000
0.0000 4.5330 0.0000
-2.6039 0.0000 7.4531
Pm Pu Pa Bi
2 1 1 4
Cartesian
0.0000 0.0000 0.0000
3.9279 2.2665 0.0000
-1.3019 2.2665 3.7266
2.6260 0.0000 3.7266
0.0359 0.0000 5.5520
1.3334 2.2665 1.9034
3.9186 2.2665 5.5498
5.2161 0.0000 1.9012
```

DOS(E_F) = 19.611 states/eV/f.u.
magnetic moment = 6.402 μB per formula unit
formation energy = -4.65 eV/f.u.

***

Entry 3:
VASP calculation (GGA-PBE) on crystalline Pm2ScPaBi4 at its relaxed geometry.

The structure in POSCAR format:
```
Pm2ScPaBi4
1.0
7.7351 0.0000 0.0000
0.0000 4.4790 0.0000
-2.5765 0.0000 7.3510
Pm Sc Pa Bi
2 1 1 4
Cartesian
0.0000 0.0000 0.0000
3.8676 2.2395 0.0000
-1.2882 2.2395 3.6755
2.5793 0.0000 3.6755
-0.0456 0.0000 5.3888
1.2328 2.2395 1.9151
3.9259 2.2395 5.4359
5.2043 0.0000 1.9622
```

DOS(E_F) = 7.233 states/eV/f.u.
magnetic moment = 0.966 μB per formula unit
formation energy = -5.09 eV/f.u.

***

Entry 4:
VASP calculation (GGA-PBE) on crystalline Pm2SmPaBi4 at its relaxed geometry.

The structure in POSCAR format:
```
Pm2SmPaBi4
1.0
7.8762 0.0000 0.0000
0.0000 4.5377 0.0000
-2.5957 0.0000 7.4404
Pm Sm Pa Bi
2 1 1 4
Cartesian
0.0000 0.0000 0.0000
3.9381 2.2689 0.0000
-1.2978 2.2689 3.7202
2.6403 0.0000 3.7202
0.0508 0.0000 5.5497
1.3368 2.2689 1.8941
3.9438 2.2689 5.5464
5.2297 0.0000 1.8908
```

DOS(E_F) = 7.427 states/eV/f.u.
magnetic moment = 1.050 μB per formula unit
formation energy = -5.73 eV/f.u.

***

Entry 5:
VASP calculation (GGA-PBE) on crystalline PmSm2PaBi4 at its relaxed geometry.

The structure in POSCAR format:
```
PmSm2PaBi4
1.0
7.8697 0.0000 0.0000
0.0000 4.5309 0.0000
-2.5940 0.0000 7.4339
Pm Sm Pa Bi
1 2 1 4
Cartesian
0.0000 0.0000 0.0000
2.6379 0.0000 3.7169
3.9349 2.2655 0.0000
-1.2970 2.2655 3.7169
0.0108 0.0000 5.5494
1.2957 2.2655 1.8854
3.9800 2.2655 5.5485
5.2649 0.0000 1.8845
```

DOS(E_F) = 7.445 states/eV/f.u.
magnetic moment = 1.063 μB per formula unit
formation energy = -5.69 eV/f.u.

***

Entry 6:
VASP calculation (GGA-PBE) on crystalline PmPaSnBi at its relaxed geometry.

The structure in POSCAR format:
```
PmPaSnBi
1.0
7.6982 0.0000 0.0000
0.0000 7.6982 0.0000
0.0000 0.0000 7.6982
Pm Pa Sn Bi
4 4 4 4
Cartesian
0.0000 0.0000 0.0000
0.0000 3.8491 3.8491
3.8491 0.0000 3.8491
3.8491 3.8491 0.0000
0.0000 0.0000 3.8491
0.0000 3.8491 0.0000
3.8491 0.0000 0.0000
3.8491 3.8491 3.8491
1.9246 1.9246 5.7737
1.9246 5.7737 1.9246
5.7737 1.9246 1.9246
5.7737 5.7737 5.7737
1.9246 1.9246 1.9246
1.9246 5.7737 5.7737
5.7737 1.9246 5.7737
5.7737 5.7737 1.9246
```

DOS(E_F) = 6.711 states/eV/f.u.
magnetic moment = 1.748 μB per formula unit
formation energy = -1.20 eV/f.u.

***

> Among the records above, which one has the lowest formation energy?

Pm2PrPaBi4

***

> Which of these has the highest DOS(E_F)?

Pm2PuPaBi4

***

> The lowest magnetic moment belongs to which entry?

Pm2ScPaBi4